This record from Alexandria via LeMat-Bulk describes crystalline LiOs2W at its relaxed geometry. The functional is PBE-GGA.

Lattice parameters (Å, degrees): 5.0415 5.0415 5.0415 144.55 129.90 62.87
With the nearest neighbours (Å) after each atom.
Element x y z (fractional)
Li  0.2473  0.7473  0.5000  6 Os 2.62-2.63, 2 W 2.69
Os  0.0005  0.0005  0.0000  2 Li 2.62, 4 W 2.63, 2 Os 2.65
Os  0.7487  0.2487  0.5000  2 W 2.61, 4 Li 2.63, 2 Os 2.65
W  0.5035  0.5035  0.0000  6 Os 2.61-2.63, 2 Li 2.69

Calculated values
**Total magnetization**: 0.000 Bohr magnetons per cell
**Space-group type**: No. 44
**Uncorrected energy**: -9.09 eV per atom
**Calculated formation energy**: 240 meV/atom


This record from Alexandria via LeMat-Bulk describes crystalline LiOsW2 at its relaxed geometry. The functional is PBE-GGA.

Lattice parameters (Å, degrees): 4.6649 4.6649 4.8850 82.31 82.31 34.55
With the nearest neighbours (Å) after each atom.
Element x y z (fractional)
Li  0.5042  0.5042  0.5026  7 W 2.59-2.85, 3 Os 2.71-2.75, 2 Li 2.77
Os  0.2528  0.2528  0.2496  7 W 2.68-2.88, 3 Li 2.71-2.75, 2 Os 2.77
W  0.9943  0.9943  0.0142  3 Os 2.68-2.71, 5 W 2.74-2.84, 4 Li 2.77-2.85
W  0.7487  0.7487  0.7336  3 Li 2.59-2.77, 4 Os 2.74-2.88, 5 W 2.74-2.84

Calculated values
**Total magnetization**: 0.000 Bohr magnetons per cell
**Space-group type**: No. 8
**Uncorrected energy**: -9.39 eV per atom
**Calculated formation energy**: 372 meV/atom


This record from Alexandria via LeMat-Bulk describes crystalline LiOs2W at its relaxed geometry. The functional is PBE-GGA.

Lattice parameters (Å, degrees): 4.8961 4.8961 4.6543 79.52 79.52 32.36
With the nearest neighbours (Å) after each atom.
Element x y z (fractional)
Li  0.2549  0.2549  0.2452  7 Os 2.67-2.87, 3 W 2.68-2.93, 2 Li 2.73
Os  0.0164  0.0164  0.9895  4 Os 2.59-2.73, 4 W 2.69-2.74, 3 Li 2.73-2.87
Os  0.7428  0.7428  0.7583  4 Os 2.59-2.73, 4 Li 2.67-2.73, 3 W 2.73-2.88
W  0.4859  0.4859  0.5069  3 Li 2.68-2.93, 7 Os 2.69-2.88, 2 W 2.73

Calculated values
**Total magnetization**: 0.000 Bohr magnetons per cell
**Space-group type**: No. 8
**Uncorrected energy**: -9.05 eV per atom
**Calculated formation energy**: 279 meV/atom


This record from Alexandria via LeMat-Bulk describes crystalline LiOsW2 at its relaxed geometry. The functional is PBE-GGA.

Lattice parameters (Å, degrees): 4.7892 4.7892 2.7694 90.00 90.00 111.14
With the nearest neighbours (Å) after each atom.
Element x y z (fractional)
Li  0.5000  0.0000  0.5000  2 Os 2.71, 8 W 2.77, 2 Li 2.77
Os  0.0000  0.5000  0.5000  2 Li 2.71, 8 W 2.77, 2 Os 2.77
W  0.0000  0.0000  0.0000  4 W 2.71-2.77, 4 Li 2.77, 4 Os 2.77
W  0.5000  0.5000  0.0000  4 W 2.71-2.77, 4 Os 2.77, 4 Li 2.77

Calculated values
**Total magnetization**: 0.000 Bohr magnetons per cell
**Space-group type**: No. 65
**Uncorrected energy**: -9.40 eV per atom
**Calculated formation energy**: 367 meV/atom


Repeat the fourth record exactly.
This record from Alexandria via LeMat-Bulk describes crystalline LiOsW2 at its relaxed geometry. The functional is PBE-GGA.

Lattice parameters (Å, degrees): 4.7892 4.7892 2.7694 90.00 90.00 111.14
With the nearest neighbours (Å) after each atom.
Element x y z (fractional)
Li  0.5000  0.0000  0.5000  2 Os 2.71, 8 W 2.77, 2 Li 2.77
Os  0.0000  0.5000  0.5000  2 Li 2.71, 8 W 2.77, 2 Os 2.77
W  0.0000  0.0000  0.0000  4 W 2.71-2.77, 4 Li 2.77, 4 Os 2.77
W  0.5000  0.5000  0.0000  4 W 2.71-2.77, 4 Os 2.77, 4 Li 2.77

Calculated values
**Total magnetization**: 0.000 Bohr magnetons per cell
**Space-group type**: No. 65
**Uncorrected energy**: -9.40 eV per atom
**Calculated formation energy**: 367 meV/atom


> Which value of uncorrected energy does entry 2 give?

-9.39 eV per atom